VASP calculation (SCAN) on a crystal of KPbCl relaxed with PBEsol.

Values from the calculation:
The value obtained for the uncorrected formation energy is -491.5 meV per atom.

Lattice parameters (Å, degrees): 7.417 7.417 7.417 90.00 90.00 90.00
Space group F-43m (No. 216)
Symmetry-distinct sites (fractional):
K1 0.000 0.000 0.000 [4 per cell]
Pb1 0.000 0.000 0.500 [4 per cell]
Cl1 0.250 0.250 0.250 [4 per cell]

=====

VASP calculation (SCAN) on a crystal of KPd2Cl2 relaxed with PBEsol.

Values from the calculation:
The value obtained for the uncorrected formation energy is -635.5 meV per atom.

Lattice parameters (Å, degrees): 3.725 3.725 14.776 90.00 90.00 90.00
Space group I4/mmm (No. 139)
Symmetry-distinct sites (fractional):
K1 0.000 0.000 0.000 [2 per cell]
Pd1 0.000 0.500 0.250 [4 per cell]
Cl1 0.000 0.000 0.384 [4 per cell]

=====

VASP calculation (SCAN) on a crystal of K2PtCl relaxed with PBEsol.

Values from the calculation:
The value obtained for the uncorrected formation energy is -250.6 meV per atom.

Lattice parameters (Å, degrees): 7.293 7.293 7.293 90.00 90.00 90.00
Space group F-43m (No. 216)
Symmetry-distinct sites (fractional):
K1 0.000 0.000 0.000 [4 per cell]
K2 0.250 0.250 0.250 [4 per cell]
Pt1 0.250 0.250 0.750 [4 per cell]
Cl1 0.000 0.000 0.500 [4 per cell]

=====

VASP calculation (SCAN) on a crystal of KPt2Cl relaxed with PBEsol.

Values from the calculation:
The value obtained for the uncorrected formation energy is -170.8 meV per atom.

Lattice parameters (Å, degrees): 3.590 5.706 9.056 90.00 90.00 90.00
Space group Imm2 (No. 44)
Symmetry-distinct sites (fractional):
K1 0.000 0.000 0.000 [2 per cell]
Pt1 0.000 0.000 0.470 [2 per cell]
Pt2 0.000 0.500 0.159 [2 per cell]
Cl1 0.000 0.500 0.801 [2 per cell]

=====

VASP calculation (SCAN) on a crystal of KRbS2Cl relaxed with PBEsol.

Values from the calculation:
The value obtained for the uncorrected formation energy is -252.0 meV per atom.

Lattice parameters (Å, degrees): 5.946 5.946 6.004 90.00 90.00 90.00
Space group P4/mmm (No. 123)
Symmetry-distinct sites (fractional):
K1 0.000 0.000 0.000 [1 per cell]
Rb1 0.500 0.500 0.500 [1 per cell]
S1 0.000 0.500 0.500 [2 per cell]
Cl1 0.500 0.500 0.000 [1 per cell]

=====

VASP calculation (SCAN) on a crystal of K2RbSbCl6 relaxed with PBEsol.

Values from the calculation:
The value obtained for the uncorrected formation energy is -1580.2 meV per atom.

Lattice parameters (Å, degrees): 11.288 11.288 11.288 90.00 90.00 90.00
Space group Fm-3m (No. 225)
Symmetry-distinct sites (fractional):
K1 0.250 0.250 0.250 [8 per cell]
Rb1 0.000 0.000 0.000 [4 per cell]
Sb1 0.000 0.000 0.500 [4 per cell]
Cl1 0.000 0.000 0.268 [24 per cell]

=====

VASP calculation (SCAN) on a crystal of KRb2ScCl6 relaxed with PBEsol.

Values from the calculation:
The value obtained for the uncorrected formation energy is -2288.2 meV per atom.

Lattice parameters (Å, degrees): 10.738 10.738 10.738 90.00 90.00 90.00
Space group Fm-3m (No. 225)
Symmetry-distinct sites (fractional):
K1 0.000 0.000 0.000 [4 per cell]
Rb1 0.250 0.250 0.250 [8 per cell]
Sc1 0.000 0.000 0.500 [4 per cell]
Cl1 0.000 0.000 0.271 [24 per cell]

=====

VASP calculation (SCAN) on a crystal of KRb2SmCl6 relaxed with PBEsol.

Values from the calculation:
The value obtained for the uncorrected formation energy is -2319.7 meV per atom.

Lattice parameters (Å, degrees): 11.157 11.157 11.157 90.00 90.00 90.00
Space group Fm-3m (No. 225)
Symmetry-distinct sites (fractional):
K1 0.000 0.000 0.000 [4 per cell]
Rb1 0.250 0.250 0.250 [8 per cell]
Sm1 0.000 0.000 0.500 [4 per cell]
Cl1 0.000 0.000 0.262 [24 per cell]